Record 1
This record from the Alexandria database describes an optimized crystal structure of CoAgPO4. The functional is GGA-PBEsol.

Properties
formation energy (no corrections)	-2.859	eV/f.u.
raw total energy	-5.814	eV per atom

a = 9.067 Å, b = 8.997 Å, c = 10.480 Å
α = 35.75°, β = 62.40°, γ = 84.32°
Site moments in Bohr magnetons follow the coordinates.
Fractional coordinates of all 28 atoms:
P (0.236, 0.664, 0.758)  -0.01
P (0.855, 0.990, 0.062)  0.01
P (0.764, 0.336, 0.242)  -0.01
P (0.145, 0.010, 0.938)  0.01
Co (0.099, 0.802, 0.285)  -0.52
Co (0.901, 0.198, 0.715)  -0.52
Co (0.036, 0.727, 0.898)  0.36
Co (0.964, 0.273, 0.102)  0.36
Ag (0.621, 0.475, 0.552)  -0.01
Ag (0.379, 0.525, 0.448)  -0.01
Ag (0.112, 0.852, 0.522)  0.03
Ag (0.888, 0.148, 0.478)  0.03
O (0.848, 0.482, 0.580)  -0.07
O (0.152, 0.518, 0.420)  -0.07
O (0.646, 0.929, 0.962)  -0.12
O (0.354, 0.071, 0.038)  -0.12
O (0.375, 0.954, 0.222)  -0.07
O (0.625, 0.046, 0.778)  -0.07
O (0.558, 0.257, 0.400)  -0.01
O (0.442, 0.743, 0.600)  -0.01
O (0.277, 0.405, 0.138)  0.62
O (0.723, 0.595, 0.862)  0.62
O (0.356, 0.518, 0.131)  0.77
O (0.644, 0.482, 0.869)  0.77
O (0.013, 0.982, 0.295)  0.02
O (0.987, 0.018, 0.705)  0.02
O (0.867, 0.191, 0.029)  0.02
O (0.133, 0.809, 0.971)  0.02

***

Record 2
This record from the Alexandria database describes an optimized crystal structure of NiRh2Br. The functional is GGA-PBEsol.

Properties
formation energy (no corrections)	2.339	eV/f.u.
energy relative to the lowest polymorph listed for this composition	0.001	eV/atom
raw total energy	-5.491	eV per atom

a = 2.812 Å, b = 4.588 Å, c = 5.142 Å
α = 116.49°, β = 105.87°, γ = 90.00°
Site moments in Bohr magnetons follow the coordinates.
Fractional coordinates of all 4 atoms:
Br (0.500, 0.000, 0.000)  0.01
Ni (0.000, 0.500, 0.000)  0.14
Rh (0.752, 0.752, 0.505)  0.02
Rh (0.248, 0.248, 0.495)  0.02

***

Record 3
This record from the Alexandria database describes an optimized crystal structure of CsGaAgF6. The functional is GGA-PBEsol.

Properties
formation energy (no corrections)	-20.143	eV/f.u.
raw total energy	-4.367	eV per atom

a = 7.361 Å, b = 7.489 Å, c = 10.342 Å
α = 90.00°, β = 90.00°, γ = 90.00°
Fractional coordinates of all 36 atoms:
Cs (0.024, 0.250, 0.623)
Cs (0.976, 0.750, 0.377)
Cs (0.476, 0.750, 0.123)
Cs (0.524, 0.250, 0.877)
Ga (0.000, 0.000, 0.000)
Ga (0.500, 0.000, 0.500)
Ga (0.000, 0.500, 0.000)
Ga (0.500, 0.500, 0.500)
Ag (0.194, 0.250, 0.253)
Ag (0.806, 0.750, 0.747)
Ag (0.306, 0.750, 0.753)
Ag (0.694, 0.250, 0.247)
F (0.278, 0.051, 0.417)
F (0.722, 0.949, 0.583)
F (0.222, 0.949, 0.917)
F (0.722, 0.551, 0.583)
F (0.778, 0.051, 0.083)
F (0.278, 0.449, 0.417)
F (0.778, 0.449, 0.083)
F (0.222, 0.551, 0.917)
F (0.571, 0.250, 0.505)
F (0.429, 0.750, 0.495)
F (0.929, 0.750, 0.005)
F (0.071, 0.250, 0.995)
F (0.121, 0.520, 0.162)
F (0.879, 0.480, 0.838)
F (0.379, 0.480, 0.662)
F (0.879, 0.020, 0.838)
F (0.621, 0.520, 0.338)
F (0.121, 0.980, 0.162)
F (0.621, 0.980, 0.338)
F (0.379, 0.020, 0.662)
F (0.442, 0.250, 0.170)
F (0.558, 0.750, 0.830)
F (0.058, 0.750, 0.670)
F (0.942, 0.250, 0.330)

***

Record 4
This record from the Alexandria database describes an optimized crystal structure of MnP2Ru. The functional is GGA-PBEsol.

Properties
energy relative to the lowest polymorph listed for this composition	0.282	eV/atom
formation enthalpy at 0 K	-0.05	eV per atom
raw total energy	-7.933	eV per atom

a = 3.358 Å, b = 3.358 Å, c = 4.980 Å
α = 109.70°, β = 109.70°, γ = 90.00°
Site moments in Bohr magnetons follow the coordinates.
Fractional coordinates of all 4 atoms:
Mn (0.250, 0.750, 0.500)  2.18
P (0.000, 0.000, 0.000)  -0.03
P (0.750, 0.250, 0.500)  -0.04
Ru (0.500, 0.500, 0.000)  0.00